! PBE Y4CdGa12, relaxed; values from VASP
! - E_form (eV/atom) = -0.483
! - spin magnetization (μB per formula unit) = 0.00
! - Fermi-level density of states (states/eV/f.u.) = 8.44
! - symmetry = Im-3m (229)
&SYSTEM
  ibrav = 0, nat = 17, ntyp = 3
/
ATOMIC_SPECIES
Y 88.91 Y.upf
Ga 69.72 Ga.upf
Cd 112.41 Cd.upf
CELL_PARAMETERS angstrom
7.1701 0.0000 -2.5350
-3.5851 6.2095 -2.5350
0.0000 0.0000 7.6051
ATOMIC_POSITIONS crystal
Y 0.0000 0.5000 0.0000
Ga 0.6866 0.6866 0.0000
Ga 0.7500 0.5000 0.2500
Ga 0.0000 0.3134 0.3134
Y 0.5000 0.0000 0.0000
Y 0.0000 0.0000 0.5000
Y 0.5000 0.5000 0.5000
Ga 0.3134 0.3134 0.0000
Ga 0.2500 0.7500 0.5000
Ga 0.5000 0.7500 0.2500
Ga 0.6866 0.0000 0.6866
Ga 0.0000 0.6866 0.6866
Ga 0.5000 0.2500 0.7500
Ga 0.2500 0.5000 0.7500
Cd 0.0000 0.0000 0.0000
Ga 0.3134 0.0000 0.3134
Ga 0.7500 0.2500 0.5000

! PBE Y3CdGa, relaxed; values from VASP
! - E_form (eV/atom) = -0.367
! - spin magnetization (μB per formula unit) = 0.00
! - Fermi-level density of states (states/eV/f.u.) = 4.92
! - symmetry = Cmcm (63)
&SYSTEM
  ibrav = 0, nat = 10, ntyp = 3
/
ATOMIC_SPECIES
Ga 69.72 Ga.upf
Y 88.91 Y.upf
Cd 112.41 Cd.upf
CELL_PARAMETERS angstrom
4.9917 0.0000 1.1407
0.0000 5.1180 0.0000
0.2371 0.0000 10.4542
ATOMIC_POSITIONS crystal
Ga 0.4834 0.7500 0.6816
Y 0.7595 0.2500 0.1294
Cd 0.9816 0.2500 0.6851
Y 0.3899 0.2500 0.8685
Y 0.8889 0.7500 0.8706
Ga 0.1650 0.2500 0.3184
Y 0.2584 0.7500 0.1315
Y 0.5745 0.2500 0.4993
Y 0.0738 0.7500 0.5007
Cd 0.6667 0.7500 0.3149

! PBE YCdGa, relaxed; values from VASP
! - E_form (eV/atom) = 0.039
! - spin magnetization (μB per formula unit) = 0.00
! - Fermi-level density of states (states/eV/f.u.) = 2.03
! - symmetry = F-43m (216)
&SYSTEM
  ibrav = 0, nat = 3, ntyp = 3
/
ATOMIC_SPECIES
Ga 69.72 Ga.upf
Y 88.91 Y.upf
Cd 112.41 Cd.upf
CELL_PARAMETERS angstrom
0.0000 3.4633 3.4633
3.4633 0.0000 3.4633
3.4633 3.4633 0.0000
ATOMIC_POSITIONS crystal
Ga 0.2500 0.2500 0.2500
Y 0.5000 0.5000 0.5000
Cd 0.7500 0.7500 0.7500

! PBE YCdGa, relaxed; values from VASP
! - E_form (eV/atom) = 0.327
! - spin magnetization (μB per formula unit) = 0.45
! - Fermi-level density of states (states/eV/f.u.) = 2.41
! - symmetry = P6_3/mmc (194)
&SYSTEM
  ibrav = 0, nat = 6, ntyp = 3
/
ATOMIC_SPECIES
Y 88.91 Y.upf
Cd 112.41 Cd.upf
Ga 69.72 Ga.upf
CELL_PARAMETERS angstrom
3.8511 -2.2235 0.0000
0.0000 4.4469 0.0000
0.0000 0.0000 11.1912
ATOMIC_POSITIONS crystal
Y 0.0000 0.0000 0.0000
Cd 0.6667 0.3333 0.7500
Cd 0.3333 0.6667 0.2500
Ga 0.0000 0.0000 0.2500
Y 0.0000 0.0000 0.5000
Ga 0.0000 0.0000 0.7500